Entry 1:
Computed, not measured: a relaxed structure of MgW at the PBE level of DFT.

## Properties
E_tot = -0.251 Ha/atom

Unit cell a=11.067 b=2.748 c=4.697 alpha=90.00 beta=90.00 gamma=90.00
Fractional positions:
W  0.402  0.500  0.500
W  0.640  0.000  0.500
W  0.277  0.500  0.000
W  0.514  0.000  0.000
Mg  0.168  0.000  0.500
Mg  0.025  0.000  0.000
Mg  0.892  0.500  0.500
Mg  0.748  0.500  0.000

Entry 2:
Computed, not measured: a relaxed structure of Mg2W at the PBE level of DFT.

## Properties
E_tot = -0.184 Ha/atom

Unit cell a=14.751 b=8.466 c=4.559 alpha=90.00 beta=90.00 gamma=52.89
Fractional positions:
Mg  0.556  0.139  0.000
Mg  0.886  0.470  0.000
Mg  0.058  0.641  0.000
Mg  0.557  0.637  0.500
Mg  0.052  0.133  0.500
Mg  0.470  0.549  0.000
Mg  0.637  0.724  0.000
Mg  0.976  0.559  0.500
Mg  0.388  0.989  0.000
Mg  0.309  0.891  0.500
Mg  0.142  0.228  0.000
Mg  0.806  0.372  0.500
Mg  0.137  0.720  0.500
Mg  0.218  0.802  0.000
Mg  0.638  0.222  0.500
Mg  0.725  0.812  0.500
W  0.306  0.393  0.000
W  0.739  0.266  0.000
W  0.245  0.301  0.500
W  0.810  0.910  0.000
W  0.888  0.968  0.500
W  0.949  0.060  0.000
W  0.455  0.095  0.500
W  0.384  0.451  0.500